The following is a DFT calculation (PBE-GGA) of a relaxed NbPdAu2 crystal.

Summary:
E_form in eV/atom: -0.077
Space-group type: No. 40

Lattice parameters (Å, degrees): 4.6968 5.9304 5.9304 123.15 90.00 90.00
With the nearest neighbours (Å) after each atom.
Element x y z (fractional)
Nb1 0.2500 0.1609 0.8391  8 Au 2.79-3.00, 4 Pd 2.81-3.06
Nb2 0.7500 0.8391 0.1609  8 Au 2.79-3.00, 4 Pd 2.81-3.06
Pd1 0.2500 0.6821 0.8499  6 Au 2.78-3.06, 4 Nb 2.81-3.06, 2 Pd 2.93
Pd2 0.7500 0.8499 0.6821  6 Au 2.78-3.06, 4 Nb 2.81-3.06, 2 Pd 2.93
Au1 0.2500 0.1753 0.3411  2 Pd 2.78-2.87, 4 Nb 2.88-3.00, 6 Au 2.89-3.02
Au2 0.2500 0.6798 0.3331  4 Nb 2.79-2.92, 4 Pd 2.87-3.06, 4 Au 2.89-3.02
Au3 0.7500 0.3331 0.6798  4 Nb 2.79-2.92, 4 Pd 2.87-3.06, 4 Au 2.89-3.02
Au4 0.7500 0.3411 0.1753  2 Pd 2.78-2.87, 4 Nb 2.88-3.00, 6 Au 2.89-3.02